This record from OQMD via LeMat-Bulk describes an optimized crystal structure of Mo2CS. The functional is PBE.

Values from the calculation:
Space-group type: C2/c (15)
Energy above the lowest structure with this stoichiometry (eV per atom): 0.000
E_tot (eV per atom): -8.888
Total magnetic moment (μB per cell): 0.0

```
24
Lattice="-1.040 1.869 5.290 -5.152 1.967 1.466 -1.314 -11.596 1.115" Properties=species:S:1:pos:R:3 pbc="T T T"
S -4.127 -0.385 5.168
Mo -6.131 -4.441 3.299
C -1.431 1.491 3.806
S -5.145 -0.940 2.057
C -4.310 -4.254 2.296
Mo -4.187 -8.378 4.859
Mo -2.440 -9.648 2.908
Mo -2.304 1.281 5.689
Mo -2.314 -3.837 1.857
Mo -4.100 -2.566 3.771
C -3.195 -3.506 5.575
S -5.523 -6.166 5.039
Mo -5.202 -9.042 2.182
C -6.075 -9.251 4.065
C -1.177 -4.864 3.203
S -3.379 -7.375 2.703
S -2.361 -6.820 5.814
Mo -5.192 -3.923 6.014
C -2.576 0.984 0.733
Mo -5.066 1.887 4.963
Mo -1.375 -3.319 4.572
Mo -3.405 -5.194 4.100
S -1.983 -1.594 2.832
Mo -3.319 0.618 3.012
```


This record from OQMD via LeMat-Bulk describes an optimized crystal structure of MoCS2. The functional is PBE.

Values from the calculation:
Space-group type: P6_3/mmc (194)
E_tot (eV per atom): -6.206
Total magnetic moment (μB per cell): 0.0

```
8
Lattice="-0.724 2.721 -1.139 0.715 -2.287 -1.867 -11.866 -3.343 -0.448" Properties=species:S:1:pos:R:3 pbc="T T T"
S -7.458 -0.981 -1.654
S -1.046 -0.978 -1.673
C 0.000 0.000 0.000
C -5.933 -1.672 -0.224
Mo -3.211 0.216 -1.494
Mo -8.664 -3.125 -1.960
S -4.417 -1.928 -1.800
S -10.830 -1.931 -1.782
```


This record from OQMD via LeMat-Bulk describes an optimized crystal structure of Mo2CS. The functional is PBE.

Values from the calculation:
Space-group type: P6_3/mmc (194)
Energy above the lowest structure with this stoichiometry (eV per atom): 0.025
E_tot (eV per atom): -8.863
Total magnetic moment (μB per cell): 0.3

```
8
Lattice="3.332 0.000 0.000 -1.666 2.886 0.000 0.000 0.000 11.064" Properties=species:S:1:pos:R:3 pbc="T T T"
Mo 0.000 1.924 4.564
Mo 0.000 1.924 0.968
C 0.000 0.000 0.000
C 0.000 0.000 5.532
S 1.666 0.962 2.766
S 0.000 1.924 8.298
Mo 1.666 0.962 6.500
Mo 1.666 0.962 10.095
```


This record from OQMD via LeMat-Bulk describes an optimized crystal structure of Sc2Mo4C3S3. The functional is PBE.

Values from the calculation:
Space-group type: C2/c (15)
E_tot (eV per atom): -8.653
Total magnetic moment (μB per cell): 0.0

```
24
Lattice="4.924 -2.862 0.000 4.924 2.862 0.000 -3.193 0.000 11.503" Properties=species:S:1:pos:R:3 pbc="T T T"
C 0.865 -1.431 5.752
Mo -0.727 -0.454 10.514
S 2.383 -0.544 2.894
S 5.868 -0.544 2.858
S 4.125 2.497 2.876
Sc 2.529 -0.466 7.013
Mo 0.870 0.454 4.762
Mo 5.830 -0.495 10.503
Mo 5.784 -0.454 6.741
Mo -0.773 -0.495 6.751
Mo 7.427 0.495 4.752
C 0.898 -1.449 11.499
S 0.786 0.544 8.645
Sc 2.528 -0.466 10.242
C 2.462 1.431 0.000
Mo 0.823 0.495 1.000
C 4.160 -1.449 5.756
C 2.494 1.449 5.747
S 2.529 -2.497 8.627
Mo 7.381 0.454 0.990
S 4.271 0.544 8.609
Sc 4.124 0.466 4.490
Sc 4.126 0.466 1.262
C 5.756 1.449 0.005
```